# 1
Here is a geometry-optimized ScGaCo2Pd structure from the Alexandria database. Energies are from PBE-GGA.

Values from the calculation:
* energy of formation: 0.733 eV per atom

Cell: 4.642 4.796 4.642 Å, 90.00 90.00 90.00°
Fractional coordinates of all 5 atoms:
Ga 0.500 0.500 0.500
Co 0.000 0.000 0.500
Co 0.500 0.000 0.000
Sc 0.000 0.500 0.000
Pd 0.000 0.000 0.000

---

# 2
Here is a geometry-optimized Pm2PdPb structure from the Alexandria database. Energies are from PBE-GGA.

Values from the calculation:
* energy of formation: -0.506 eV per atom

Cell: 4.018 4.018 8.771 Å, 76.76 76.76 60.00°
Fractional coordinates of all 4 atoms:
Pm 0.264 0.264 0.209
Pm 0.736 0.736 0.791
Pd 0.000 0.000 0.000
Pb 0.500 0.500 0.500